Here is a geometry-optimized AlAsIrO structure from the Open Quantum Materials Database. Energies are from PBE-GGA.

Calculated values
**DFT total energy**: -6.23 eV per atom
**Relative energy among the computed polymorphs**: 332 meV per atom

a = 4.543 Å, b = 5.225 Å, c = 5.044 Å
α = 90.00°, β = 90.00°, γ = 90.00°
Atoms (fractional coordinates):
Al1 0.000 0.178 0.000
Al2 0.000 0.822 0.500
As1 0.500 0.337 0.839
As2 0.500 0.663 0.339
Ir1 0.500 0.164 0.367
Ir2 0.500 0.836 0.867
O1 0.000 0.136 0.351
O2 0.000 0.864 0.851

---

Here is a geometry-optimized Cs2AgSbS4 structure from the Open Quantum Materials Database. Energies are from PBE-GGA.

Calculated values
**DFT total energy**: -3.81 eV per atom

a = 6.996 Å, b = 11.586 Å, c = 13.625 Å
α = 90.00°, β = 104.01°, γ = 90.00°
Atoms (fractional coordinates):
Cs1 0.123 0.004 0.336
Cs2 0.123 0.496 0.836
Cs3 0.371 0.747 0.659
Cs4 0.371 0.753 0.159
Cs5 0.629 0.247 0.841
Cs6 0.629 0.253 0.341
Cs7 0.877 0.504 0.164
Cs8 0.877 0.996 0.664
Ag1 0.302 0.522 0.420
Ag2 0.302 0.978 0.920
Ag3 0.698 0.022 0.080
Ag4 0.698 0.478 0.580
Sb1 0.194 0.214 0.060
Sb2 0.194 0.286 0.560
Sb3 0.806 0.714 0.440
Sb4 0.806 0.786 0.940
S1 0.117 0.710 0.398
S2 0.117 0.790 0.898
S3 0.156 0.182 0.884
S4 0.156 0.318 0.384
S5 0.336 0.104 0.604
S6 0.336 0.396 0.104
S7 0.391 0.058 0.145
S8 0.391 0.442 0.645
S9 0.609 0.558 0.355
S10 0.609 0.942 0.855
S11 0.664 0.604 0.896
S12 0.664 0.896 0.396
S13 0.844 0.682 0.616
S14 0.844 0.818 0.116
S15 0.883 0.210 0.102
S16 0.883 0.290 0.602

---

Here is a geometry-optimized InCuPdSe3 structure from the Open Quantum Materials Database. Energies are from PBE-GGA.

Calculated values
**DFT total energy**: -3.89 eV per atom

a = 7.052 Å, b = 7.052 Å, c = 9.434 Å
α = 90.00°, β = 90.00°, γ = 148.86°
Atoms (fractional coordinates):
In1 0.241 0.759 0.750
In2 0.759 0.241 0.250
Cu1 0.476 0.524 0.250
Cu2 0.524 0.476 0.750
Pd1 0.000 0.000 0.000
Pd2 0.000 0.000 0.500
Se1 0.086 0.914 0.250
Se2 0.362 0.638 0.054
Se3 0.362 0.638 0.446
Se4 0.638 0.362 0.554
Se5 0.638 0.362 0.946
Se6 0.914 0.086 0.750

---

Here is a geometry-optimized KDyO3 structure from the Open Quantum Materials Database. Energies are from PBE-GGA.

Calculated values
**DFT total energy**: -5.90 eV per atom

a = 5.932 Å, b = 10.141 Å, c = 5.968 Å
α = 90.00°, β = 90.00°, γ = 90.00°
Atoms (fractional coordinates):
K1 0.000 0.000 0.000
K2 0.000 0.500 0.000
K3 0.500 0.000 0.500
K4 0.500 0.500 0.500
Dy1 0.008 0.250 0.461
Dy2 0.492 0.750 0.961
Dy3 0.508 0.250 0.039
Dy4 0.992 0.750 0.539
O1 0.236 0.750 0.245
O2 0.245 0.638 0.746
O3 0.245 0.862 0.746
O4 0.255 0.138 0.246
O5 0.255 0.362 0.246
O6 0.264 0.250 0.745
O7 0.736 0.750 0.255
O8 0.745 0.638 0.754
O9 0.745 0.862 0.754
O10 0.755 0.138 0.254
O11 0.755 0.362 0.254
O12 0.764 0.250 0.755

---

Here is a geometry-optimized GdIn2O4 structure from the Open Quantum Materials Database. Energies are from PBE-GGA.

Calculated values
**DFT total energy**: -6.27 eV per atom

a = 6.709 Å, b = 6.709 Å, c = 6.709 Å
α = 60.00°, β = 60.00°, γ = 60.00°
Atoms (fractional coordinates):
Gd1 0.125 0.125 0.125
Gd2 0.875 0.875 0.875
In1 0.000 0.500 0.500
In2 0.500 0.000 0.500
In3 0.500 0.500 0.000
In4 0.500 0.500 0.500
O1 0.259 0.259 0.259
O2 0.259 0.259 0.723
O3 0.259 0.723 0.259
O4 0.277 0.741 0.741
O5 0.723 0.259 0.259
O6 0.741 0.277 0.741
O7 0.741 0.741 0.277
O8 0.741 0.741 0.741

---

Here is a geometry-optimized GdPuCo structure from the Open Quantum Materials Database. Energies are from PBE-GGA.

Calculated values
**DFT total energy**: -8.56 eV per atom
**Relative energy among the computed polymorphs**: 0 meV per atom
**ΔH_f (0 K)**: 0.067 eV/atom

a = 6.582 Å, b = 6.582 Å, c = 6.582 Å
α = 90.00°, β = 90.00°, γ = 90.00°
Atoms (fractional coordinates):
Gd1 0.000 0.000 0.000
Gd2 0.000 0.500 0.500
Gd3 0.500 0.000 0.500
Gd4 0.500 0.500 0.000
Pu1 0.000 0.000 0.500
Pu2 0.000 0.500 0.000
Pu3 0.500 0.000 0.000
Pu4 0.500 0.500 0.500
Co1 0.250 0.250 0.250
Co2 0.250 0.750 0.750
Co3 0.750 0.250 0.750
Co4 0.750 0.750 0.250

---

Here is a geometry-optimized NaSrHoTe3 structure from the Open Quantum Materials Database. Energies are from PBE-GGA.

Calculated values
**DFT total energy**: -4.21 eV per atom
**Relative energy among the computed polymorphs**: 0 meV per atom

a = 9.832 Å, b = 9.832 Å, c = 9.703 Å
α = 104.19°, β = 104.19°, γ = 26.06°
Atoms (fractional coordinates):
Na1 0.007 0.007 0.205
Na2 0.993 0.993 0.795
Sr1 0.365 0.365 0.433
Sr2 0.635 0.635 0.567
Ho1 0.334 0.334 0.914
Ho2 0.666 0.666 0.086
Te1 0.000 0.000 0.500
Te2 0.169 0.169 0.861
Te3 0.181 0.181 0.316
Te4 0.500 0.500 0.000
Te5 0.819 0.819 0.684
Te6 0.831 0.831 0.139

---

Here is a geometry-optimized TbYTa structure from the Open Quantum Materials Database. Energies are from PBE-GGA.

Calculated values
**DFT total energy**: -6.30 eV per atom
**ΔH_f (0 K)**: 1.348 eV/atom

a = 7.112 Å, b = 7.112 Å, c = 7.112 Å
α = 90.00°, β = 90.00°, γ = 90.00°
Atoms (fractional coordinates):
Tb1 0.000 0.000 0.000
Tb2 0.000 0.500 0.500
Tb3 0.500 0.000 0.500
Tb4 0.500 0.500 0.000
Y1 0.250 0.250 0.750
Y2 0.250 0.750 0.250
Y3 0.750 0.250 0.250
Y4 0.750 0.750 0.750
Ta1 0.000 0.000 0.500
Ta2 0.000 0.500 0.000
Ta3 0.500 0.000 0.000
Ta4 0.500 0.500 0.500

---

Here is a geometry-optimized YCuTcGe structure from the Open Quantum Materials Database. Energies are from PBE-GGA.

Calculated values
**DFT total energy**: -6.24 eV per atom
**Relative energy among the computed polymorphs**: 0 meV per atom

a = 6.464 Å, b = 6.464 Å, c = 6.464 Å
α = 90.00°, β = 90.00°, γ = 90.00°
Atoms (fractional coordinates):
Y1 0.000 0.000 0.000
Y2 0.000 0.500 0.500
Y3 0.500 0.000 0.500
Y4 0.500 0.500 0.000
Cu1 0.250 0.250 0.750
Cu2 0.250 0.750 0.250
Cu3 0.750 0.250 0.250
Cu4 0.750 0.750 0.750
Tc1 0.250 0.250 0.250
Tc2 0.250 0.750 0.750
Tc3 0.750 0.250 0.750
Tc4 0.750 0.750 0.250
Ge1 0.000 0.000 0.500
Ge2 0.000 0.500 0.000
Ge3 0.500 0.000 0.000
Ge4 0.500 0.500 0.500

---

Here is a geometry-optimized PrNdB2Pd2Pt6 structure from the Open Quantum Materials Database. Energies are from PBE-GGA.

Calculated values
**DFT total energy**: -6.58 eV per atom
**Relative energy among the computed polymorphs**: 0 meV per atom

a = 5.501 Å, b = 5.501 Å, c = 7.699 Å
α = 90.00°, β = 90.00°, γ = 120.00°
Atoms (fractional coordinates):
Pr1 0.000 0.000 0.000
Nd1 0.000 0.000 0.500
B1 0.333 0.667 0.500
B2 0.667 0.333 0.500
Pd1 0.333 0.667 0.000
Pd2 0.667 0.333 0.000
Pt1 0.000 0.500 0.301
Pt2 0.000 0.500 0.699
Pt3 0.500 0.000 0.301
Pt4 0.500 0.000 0.699
Pt5 0.500 0.500 0.301
Pt6 0.500 0.500 0.699

---

Q: What is the DFT total energy in the fifth record?
A: -6.27 eV per atom

---

Q: Look up the DFT total energy of the third one.
A: -3.89 eV per atom

---

Q: The lowest DFT total energy belongs to which entry?
A: GdPuCo

---

Q: The highest DFT total energy belongs to which entry?
A: Cs2AgSbS4